Record 1
SbH3Pd | PBE | optimized geometry

```
5
Lattice="3.7539 0.0000 0.0000 0.0000 3.7539 0.0000 0.0000 0.0000 3.7539" Properties=species:S:1:pos:R:3 pbc="T T T"
Sb 0.0000 0.0000 0.0000
H 0.0000 1.8769 1.8769
H 1.8769 0.0000 1.8769
H 1.8769 1.8769 0.0000
Pd 1.8769 1.8769 1.8769
```

Computed properties:
The raw total energy is -3.463 eV per atom. As for the crystal system: cubic. Its density of states at the Fermi level is 1.90 states/eV per cell.


Record 2
Cs4K2HgAu | PBE | optimized geometry

```
8
Lattice="9.1587 0.0000 0.0000 0.0000 5.0501 0.0000 -2.5596 0.0000 12.4449" Properties=species:S:1:pos:R:3 pbc="T T T"
Cs 1.4615 0.0000 2.1048
Cs 0.2782 2.5250 10.1904
Cs 6.3209 2.5250 2.2545
Cs 5.1377 0.0000 10.3400
K -1.2798 0.0000 6.2224
K 3.2996 2.5250 6.2224
Hg 4.5793 0.0000 0.0000
Au 0.0000 2.5250 0.0000
```

Computed properties:
The raw total energy is -1.265 eV per atom. The energy of formation comes out at -116 meV per atom. As for the crystal system: monoclinic. Its density of states at the Fermi level is 6.97 states/eV per cell.


Record 3
TbCrS3 | PBE | optimized geometry

```
10
Lattice="4.3547 -6.1091 0.0000 4.3547 6.1091 0.0000 0.0000 0.0000 3.6248" Properties=species:S:1:pos:R:3 pbc="T T T"
Tb 0.0000 0.0000 0.0000
Tb 4.3547 0.0000 1.8124
Cr 2.1773 3.0546 0.0000
Cr 2.1773 -3.0546 0.0000
S 1.7092 1.5031 1.8124
S 1.7092 -1.5031 1.8124
S 4.3547 2.0668 0.0000
S 4.3547 -2.0668 0.0000
S 7.0002 1.5031 1.8124
S 7.0002 -1.5031 1.8124
```

Computed properties:
The raw total energy is -6.537 eV per atom. As for the crystal system: orthorhombic. The raw formation energy comes out at -1.21 eV/atom. Its density of states at the Fermi level is 1.29 states/eV per cell.


Copy entry 1 word for word.
SbH3Pd | PBE | optimized geometry

```
5
Lattice="3.7539 0.0000 0.0000 0.0000 3.7539 0.0000 0.0000 0.0000 3.7539" Properties=species:S:1:pos:R:3 pbc="T T T"
Sb 0.0000 0.0000 0.0000
H 0.0000 1.8769 1.8769
H 1.8769 0.0000 1.8769
H 1.8769 1.8769 0.0000
Pd 1.8769 1.8769 1.8769
```

Computed properties:
The raw total energy is -3.463 eV per atom. As for the crystal system: cubic. Its density of states at the Fermi level is 1.90 states/eV per cell.


What did the second record say?
Cs4K2HgAu | PBE | optimized geometry

```
8
Lattice="9.1587 0.0000 0.0000 0.0000 5.0501 0.0000 -2.5596 0.0000 12.4449" Properties=species:S:1:pos:R:3 pbc="T T T"
Cs 1.4615 0.0000 2.1048
Cs 0.2782 2.5250 10.1904
Cs 6.3209 2.5250 2.2545
Cs 5.1377 0.0000 10.3400
K -1.2798 0.0000 6.2224
K 3.2996 2.5250 6.2224
Hg 4.5793 0.0000 0.0000
Au 0.0000 2.5250 0.0000
```

Computed properties:
The raw total energy is -1.265 eV per atom. The energy of formation comes out at -116 meV per atom. As for the crystal system: monoclinic. Its density of states at the Fermi level is 6.97 states/eV per cell.


Which of these has the lowest raw total energy?
TbCrS3